This record from the Alexandria database describes crystalline Na2LiTaAl at its relaxed geometry. The functional is GGA-PBEsol.

Properties
- Final energy: -15.996 eV per cell
- Energy of formation from the pure elements: 1.083 eV/atom
- Mass density: 4.43 g cm⁻³
- Space group: P4/mmm (123)

Cell lengths 4.292, 4.292, 5.310 Å; angles 90.00, 90.00, 90.00 degrees
Atoms (fractional coordinates):
Na1 0.000 0.500 0.000
Na2 0.500 0.000 0.000
Li1 0.000 0.000 0.000
Ta1 0.000 0.000 0.500
Al1 0.500 0.500 0.500

This record from the Alexandria database describes crystalline Li2NbAl at its relaxed geometry. The functional is GGA-PBEsol.

Properties
- Final energy: -32.704 eV per cell
- Energy of formation from the pure elements: 0.624 eV/atom
- Mass density: 3.42 g cm⁻³
- Space group: I-42d (122)

Cell lengths 5.619, 5.619, 5.619 Å; angles 102.77, 102.77, 123.92 degrees
Atoms (fractional coordinates):
Li1 0.106 0.625 0.981
Li2 0.375 0.356 0.481
Li3 0.644 0.125 0.019
Li4 0.875 0.894 0.519
Nb1 0.250 0.750 0.500
Nb2 0.500 0.500 0.000
Al1 0.000 0.000 0.000
Al2 0.750 0.250 0.500